The following is a PBE-GGA calculation of a geometry-optimized CoMo2Au structure, from Alexandria.

```
CoMo2Au
1.0
3.296 0.000 0.000
0.000 3.296 0.000
0.000 0.000 5.658
Co Mo Au
1 2 1
Cartesian
0.000 0.000 0.000
1.648 1.648 1.154
1.648 1.648 4.503
0.000 0.000 2.829
```

Output
For the formation energy, the calculation gives 0.265 eV/atom. Its space group is P4/mmm, No. 123. The excess energy over the best structure of this formula in the dataset comes out at 111.9 meV per atom. The calculation puts the spin magnetization at 0.000 μB per formula unit.